## a
VASP calculation (PBE) on crystalline Pr2CdRh at its relaxed geometry.

The structure in POSCAR format:
```
Pr2CdRh
1.0
-3.650 3.593 -1.206
-3.793 1.160 3.458
-0.005 4.665 2.434
Pr Cd Rh
2 1 1
Direct
0.750 0.750 0.750
0.250 0.250 0.250
0.500 0.500 0.500
0.000 0.000 0.000
```

Computed properties:
As for the space group: Fm-3m.

---

## b
VASP calculation (PBE) on crystalline Pr2CdRh at its relaxed geometry.

The structure in POSCAR format:
```
Pr2CdRh
1.0
-0.072 -0.180 3.655
-3.235 -1.707 -0.148
3.633 -6.861 -0.267
Rh Cd Pr
1 1 2
Direct
0.500 0.500 0.000
0.500 0.500 0.500
0.000 0.000 0.219
0.000 0.000 0.781
```

Computed properties:
As for the space group: P4/mmm.

---

Stability ranking, top and bottom: b is the most stable and a is the least stable.